Entry 1:
An optimized crystal structure of NbP2S6, computed with PBE-GGA.

Properties
Energy (eV/atom): -5.309
Excess energy over the best structure of this formula in the dataset (eV per atom): 0.1697
DOS at the Fermi energy (states/eV per atom): 0.543

Geometry as POSCAR:
```
NbP2S6
1.0
6.086 -6.889 0.000
6.086 6.889 0.000
-1.528 0.000 5.826
Nb P S
2 4 12
Cartesian
4.940 5.361 4.369
5.704 -5.361 1.456
2.324 1.044 3.979
3.088 -1.044 1.066
7.557 1.044 4.760
8.321 -1.044 1.847
0.243 0.834 3.786
3.148 4.080 4.662
1.006 -0.834 0.873
4.161 0.679 0.224
6.732 4.080 4.077
3.397 -0.679 3.136
7.247 0.679 2.689
3.912 -4.080 1.749
6.483 -0.679 5.602
9.638 0.834 4.953
7.496 -4.080 1.164
10.402 -0.834 2.040
```

Entry 2:
An optimized crystal structure of YMg2P, computed with PBE-GGA.

Properties
Energy (eV/atom): -4.178
DOS at the Fermi energy (states/eV per atom): 0.332
Formation energy from the elements (eV per atom): -0.412

Geometry as POSCAR:
```
YMg2P
1.0
3.742 0.000 0.000
0.000 3.742 0.000
0.000 0.000 6.307
Y Mg P
1 2 1
Cartesian
0.000 0.000 0.000
0.000 0.000 3.309
1.871 1.871 1.937
1.871 1.871 5.141
```

Entry 3:
An optimized crystal structure of Dy2NpInO8, computed with PBE-GGA.

Properties
Energy (eV/atom): -8.124

Geometry as POSCAR:
```
Dy2NpInO8
1.0
5.026 0.000 0.000
0.000 6.990 0.000
-0.240 0.000 5.021
Dy Np In O
2 1 1 8
Cartesian
0.000 1.688 0.000
0.000 5.301 0.000
2.393 3.495 2.511
2.393 0.000 2.511
0.983 0.000 1.022
1.013 3.495 1.048
1.413 1.952 3.433
1.413 5.038 3.433
3.373 1.952 1.588
3.373 5.038 1.588
3.774 3.495 3.973
3.803 0.000 3.999
```

Entry 4:
An optimized crystal structure of SmNi12, computed with PBE-GGA.

Properties
Energy (eV/atom): -5.799
DOS at the Fermi energy (states/eV per atom): 1.690
Formation energy from the elements (eV per atom): -0.099

Geometry as POSCAR:
```
SmNi12
1.0
-4.120 4.120 2.356
4.120 -4.120 2.356
4.120 4.120 -2.356
Sm Ni
1 12
Cartesian
0.000 0.000 0.000
2.060 2.060 -1.178
2.927 0.000 0.000
2.060 -2.060 1.178
5.314 0.000 0.000
4.120 2.248 0.000
0.000 2.927 0.000
-2.060 2.060 1.178
2.248 4.120 0.000
2.060 2.060 1.178
1.873 0.000 2.356
0.000 5.314 0.000
0.000 1.873 2.356
```

Entry 5:
An optimized crystal structure of Dy8Tm6Tl, computed with PBE-GGA.

Properties
Energy (eV/atom): -4.192
DOS at the Fermi energy (states/eV per atom): 1.233
Formation energy from the elements (eV per atom): 0.208

Geometry as POSCAR:
```
Dy8Tm6Tl
1.0
9.077 0.000 0.000
-4.539 7.861 0.000
0.000 0.000 6.692
Dy Tm Tl
8 6 1
Cartesian
-3.005 5.405 0.773
1.360 2.556 0.773
2.894 0.100 5.919
0.000 5.241 5.424
4.539 2.620 1.268
1.645 7.761 0.773
3.179 5.305 5.919
7.543 2.456 5.919
-1.100 3.131 2.639
-1.277 7.248 2.639
2.162 2.518 4.053
2.377 5.343 2.639
5.816 0.613 4.053
5.638 4.730 4.053
0.000 0.000 3.346
```

Entry 6:
An optimized crystal structure of HfGa2Pd, computed with PBE-GGA.

Properties
Energy (eV/atom): -5.858
DOS at the Fermi energy (states/eV per atom): 0.250
Formation energy from the elements (eV per atom): -0.558

Geometry as POSCAR:
```
HfGa2Pd
1.0
4.081 0.000 0.000
0.000 4.081 0.000
0.000 0.000 4.038
Hf Ga Pd
1 2 1
Cartesian
0.000 0.000 0.000
0.000 2.040 2.019
2.040 0.000 2.019
2.040 2.040 0.000
```